No. 1
TbHoSc2As4: optimized geometry, PBE.

Total DFT energy (no corrections) = -0.4779 Ry per atom
Formation energy = -1.444 eV/atom

Structure (POSCAR):
```
TbHoSc2As4
1.0
4.008 0.000 0.000
0.000 6.917 -0.130
0.000 2.440 6.493
Tb Ho Sc As
1 1 2 4
Cartesian
2.004 3.459 -0.065
0.000 4.679 3.182
0.000 2.440 6.493
2.004 1.220 3.246
0.000 7.110 4.729
4.008 2.248 1.634
2.004 5.890 1.500
2.004 3.468 4.863
```

***

No. 2
HoScTeAs: optimized geometry, PBE.

Total DFT energy (no corrections) = -0.4425 Ry per atom
E_form (uncorrected) = -1.346 eV per atom

Structure (POSCAR):
```
HoScTeAs
1.0
4.033 -0.001 0.000
-2.016 3.493 0.000
-2.016 -1.164 7.106
Ho Sc Te As
1 1 1 1
Cartesian
-1.635 3.238 0.580
0.381 -0.256 4.636
2.398 0.909 2.667
-1.635 0.909 6.113
```

***

No. 3
HoTh2ScAs4: optimized geometry, PBE.

Total DFT energy (no corrections) = -0.5109 Ry per atom
Formation energy = -1.407 eV/atom

Structure (POSCAR):
```
HoTh2ScAs4
1.0
-2.327 1.991 2.806
-5.289 0.452 -4.707
-4.260 -5.766 0.558
Ho Th Sc As
1 2 1 4
Cartesian
-4.774 -2.657 -2.074
-4.260 -5.766 0.558
-3.294 -1.888 1.682
-3.808 1.221 -0.950
-7.114 -4.060 -3.019
-4.762 0.737 1.676
-6.117 -0.112 -1.919
-5.759 -3.211 0.576
```

***

No. 4
HoTmSc2As4: optimized geometry, PBE.

Total DFT energy (no corrections) = -0.4760 Ry per atom
Formation energy = -1.438 eV/atom

Structure (POSCAR):
```
HoTmSc2As4
1.0
-1.971 -3.196 1.339
4.238 -0.342 5.420
-2.577 3.759 5.181
Ho Tm Sc As
1 1 2 4
Cartesian
0.831 1.708 5.300
1.134 -1.769 3.379
-2.577 3.759 5.181
-2.274 0.281 3.260
1.305 2.547 8.001
-1.614 -2.327 3.939
1.618 -0.940 6.072
-1.927 1.160 5.868
```

***

No. 5
Ho2TmSc3As6: optimized geometry, PBE.

Total DFT energy (no corrections) = -0.4764 Ry per atom
Formation energy = -1.439 eV/atom

Structure (POSCAR):
```
Ho2TmSc3As6
1.0
-2.305 -4.443 -4.762
2.744 -2.360 5.885
-6.020 2.343 2.396
Ho Tm Sc As
2 1 3 6
Cartesian
1.060 -3.055 2.334
-0.621 -3.748 -1.211
0.000 0.000 0.000
-1.110 -1.536 5.303
-4.471 -2.923 -1.784
-2.791 -2.230 1.760
-4.949 -3.697 0.838
-1.253 -4.525 1.480
-0.633 -0.763 2.682
-3.272 -3.005 4.372
-4.328 0.066 2.040
-2.309 -1.455 -0.853
```

***

No. 6
Ho2TmScAs4: optimized geometry, PBE.

Total DFT energy (no corrections) = -0.4626 Ry per atom
Formation energy = -1.474 eV/atom

Structure (POSCAR):
```
Ho2TmScAs4
1.0
4.042 0.000 0.000
0.000 6.990 -0.137
0.000 2.461 6.547
Ho Tm Sc As
2 1 1 4
Cartesian
0.000 2.461 6.547
2.021 1.231 3.274
2.021 3.495 -0.068
0.000 4.726 3.205
0.000 7.038 4.790
4.042 2.413 1.621
2.021 5.810 1.589
2.021 3.641 4.822
```

***

no.,Fermi-level density of states (states/eV per atom)
1,0.13
2,0.68
3,0.47
4,0.13
5,0.17
6,0.13